Entry 1:
# TiB2HI

A geometry-optimized TiB2HI structure (PBEsol, Alexandria via LeMat-Bulk).

a b c (Å): 3.865 3.865 4.003
angles (deg): 90.00 90.00 90.00
Sites, in units of the cell vectors:
Ti 0.000 0.000 0.000
B 0.000 0.500 0.500
B 0.500 0.000 0.500
H 0.500 0.500 0.500
I 0.500 0.500 0.000


Entry 2:
# SiHSeN2

A geometry-optimized SiHSeN2 structure (PBEsol, Alexandria via LeMat-Bulk).

a b c (Å): 3.344 3.344 5.741
angles (deg): 90.00 90.00 90.00
Sites, in units of the cell vectors:
Si 0.000 0.000 0.000
H 0.500 0.500 0.500
Se 0.000 0.000 0.500
N 0.000 0.500 0.000
N 0.500 0.000 0.000


Entry 3:
# Sr2SnSe3F2

A geometry-optimized Sr2SnSe3F2 structure (PBEsol, Alexandria via LeMat-Bulk).

Results
For the raw formation energy, the calculation gives -2.13 eV per atom.

a b c (Å): 6.080 19.360 6.050
angles (deg): 90.00 90.00 90.00
Sites, in units of the cell vectors:
Sr 0.245 0.070 0.005
Sr 0.245 0.430 0.005
Sr 0.255 0.570 0.505
Sr 0.255 0.930 0.505
Sr 0.745 0.070 0.495
Sr 0.745 0.430 0.495
Sr 0.755 0.570 0.995
Sr 0.755 0.930 0.995
Sn 0.142 0.750 0.920
Sn 0.358 0.250 0.420
Sn 0.642 0.750 0.580
Sn 0.858 0.250 0.080
Se 0.227 0.750 0.500
Se 0.240 0.130 0.512
Se 0.240 0.370 0.512
Se 0.260 0.630 0.012
Se 0.260 0.870 0.012
Se 0.273 0.250 0.000
Se 0.727 0.750 0.000
Se 0.740 0.130 0.988
Se 0.740 0.370 0.988
Se 0.760 0.630 0.488
Se 0.760 0.870 0.488
Se 0.773 0.250 0.500
F 0.001 0.001 0.746
F 0.001 0.499 0.746
F 0.499 0.501 0.246
F 0.499 0.999 0.246
F 0.501 0.001 0.754
F 0.501 0.499 0.754
F 0.999 0.501 0.254
F 0.999 0.999 0.254


Entry 4:
# OsSeCl2

A geometry-optimized OsSeCl2 structure (PBEsol, Alexandria via LeMat-Bulk).

Results
The polymorph energy (0 for the lowest one) is 0.000 kcal/mol of atoms. For the raw formation energy, the calculation gives 0.10 eV per atom.

a b c (Å): 7.591 7.591 7.591
angles (deg): 27.01 27.01 27.01
Sites, in units of the cell vectors:
Os 0.000 0.000 0.000
Se 0.723 0.723 0.723
Cl 0.268 0.268 0.268
Cl 0.482 0.482 0.482


Entry 5:
# LiTc2B2

A geometry-optimized LiTc2B2 structure (PBEsol, Alexandria via LeMat-Bulk).

Results
For the energy relative to the elements, the calculation gives -39.0 kJ per mole of atoms.

a b c (Å): 5.661 5.661 2.990
angles (deg): 90.00 90.00 90.00
Sites, in units of the cell vectors:
Li 0.000 0.000 0.000
Li 0.500 0.500 0.000
Tc 0.173 0.327 0.500
Tc 0.327 0.827 0.500
Tc 0.673 0.173 0.500
Tc 0.827 0.673 0.500
B 0.117 0.617 0.000
B 0.383 0.117 0.000
B 0.617 0.883 0.000
B 0.883 0.383 0.000


Entry 6:
# AuIBr2

A geometry-optimized AuIBr2 structure (PBEsol, Alexandria via LeMat-Bulk).

Results
For the raw formation energy, the calculation gives 0.12 eV per atom.

a b c (Å): 8.767 8.767 8.767
angles (deg): 27.29 27.29 27.29
Sites, in units of the cell vectors:
Au 0.000 0.000 0.000
I 0.500 0.500 0.500
Br 0.391 0.391 0.391
Br 0.609 0.609 0.609


Entry 7:
# SrY2HgP

A geometry-optimized SrY2HgP structure (PBEsol, Alexandria via LeMat-Bulk).

Results
For the energy relative to the elements, the calculation gives 127.1 kJ per mole of atoms.

a b c (Å): 5.697 5.697 5.257
angles (deg): 90.00 90.00 90.00
Sites, in units of the cell vectors:
Sr 0.000 0.000 0.000
Y 0.000 0.500 0.000
Y 0.500 0.000 0.000
Hg 0.000 0.000 0.500
P 0.500 0.500 0.500


Entry 8:
# Zn2TcAs

A geometry-optimized Zn2TcAs structure (PBEsol, Alexandria via LeMat-Bulk).

Results
For the energy relative to the elements, the calculation gives 24.3 kJ per mole of atoms.

a b c (Å): 8.933 8.933 8.933
angles (deg): 18.17 18.17 18.17
Sites, in units of the cell vectors:
Zn 0.246 0.246 0.246
Zn 0.754 0.754 0.754
Tc 0.500 0.500 0.500
As 0.000 0.000 0.000


Entry 9:
# Ba2Mg2Hg

A geometry-optimized Ba2Mg2Hg structure (PBEsol, Alexandria via LeMat-Bulk).

Results
For the energy relative to the elements, the calculation gives -11.5 kJ per mole of atoms.

a b c (Å): 10.755 10.755 10.755
angles (deg): 157.52 157.52 32.01
Sites, in units of the cell vectors:
Ba 0.095 0.095 0.000
Ba 0.905 0.905 0.000
Mg 0.250 0.750 0.500
Mg 0.750 0.250 0.500
Hg 0.500 0.500 0.000


Entry 10:
# CsSrBr3

A geometry-optimized CsSrBr3 structure (PBEsol, Alexandria via LeMat-Bulk).

Results
For the raw formation energy, the calculation gives -2.00 eV per atom.

a b c (Å): 7.696 7.696 11.449
angles (deg): 90.00 90.00 146.08
Sites, in units of the cell vectors:
Cs 0.246 0.754 0.750
Cs 0.754 0.246 0.250
Sr 0.500 0.500 0.000
Sr 0.500 0.500 0.500
Br 0.135 0.865 0.046
Br 0.135 0.865 0.454
Br 0.442 0.558 0.250
Br 0.558 0.442 0.750
Br 0.865 0.135 0.546
Br 0.865 0.135 0.954


Entry 11:
# Cs2CuMoBr6

A geometry-optimized Cs2CuMoBr6 structure (PBEsol, Alexandria via LeMat-Bulk).

Results
For the raw formation energy, the calculation gives -0.93 eV per atom.

a b c (Å): 7.398 7.398 7.398
angles (deg): 60.00 60.00 60.00
Sites, in units of the cell vectors:
Cs 0.250 0.250 0.250
Cs 0.750 0.750 0.750
Cu 0.000 0.000 0.000
Mo 0.500 0.500 0.500
Br 0.252 0.252 0.748
Br 0.252 0.748 0.252
Br 0.252 0.748 0.748
Br 0.748 0.252 0.252
Br 0.748 0.252 0.748
Br 0.748 0.748 0.252


Entry 12:
# LiGaTe2I

A geometry-optimized LiGaTe2I structure (PBEsol, Alexandria via LeMat-Bulk).

Results
For the raw formation energy, the calculation gives -0.05 eV per atom.

a b c (Å): 5.314 5.314 5.884
angles (deg): 90.00 90.00 90.00
Sites, in units of the cell vectors:
Li 0.000 0.000 0.000
Ga 0.500 0.500 0.500
Te 0.000 0.500 0.500
Te 0.500 0.000 0.500
I 0.500 0.500 0.000


no.,final energy (eV/atom),magnetic moment (μB/f.u.)
1,-4.01,0.00
2,-5.23,0.00
3,-5.04,0.00
4,-4.92,0.00
5,-8.11,0.00
6,-2.24,0.00
7,-3.05,0.00
8,-4.63,0.00
9,-1.78,0.00
10,-3.68,0.00
11,-3.85,3.00
12,-2.88,0.00